# PBE Er2AlCo2Ni5, optimized geometry
# * total magnetic moment: 0.227 μB/atom
# * E: -5.87 eV per atom
# * DFT formation energy: -26.4 kJ/mol of atoms
data_Er2AlCo2Ni5
_space_group_name_H-M_alt 'P 1'
_space_group_IT_number 1
_cell_length_a 3.713
_cell_length_b 8.717
_cell_length_c 8.717
_cell_angle_alpha 90.00
_cell_angle_beta 90.00
_cell_angle_gamma 90.00
loop_
_space_group_symop_operation_xyz
'x,y,z'
loop_
_atom_site_label
_atom_site_type_symbol
_atom_site_fract_x
_atom_site_fract_y
_atom_site_fract_z
Al1 Al 0.000 0.000 0.000
Al2 Al 0.000 0.500 0.500
Co1 Co 0.000 0.125 0.625
Co2 Co 0.000 0.875 0.375
Co3 Co 0.000 0.625 0.875
Co4 Co 0.000 0.375 0.125
Ni1 Ni 0.500 0.564 0.704
Ni2 Ni 0.500 0.296 0.564
Ni3 Ni 0.500 0.000 0.500
Ni4 Ni 0.500 0.204 0.064
Ni5 Ni 0.500 0.436 0.296
Ni6 Ni 0.500 0.704 0.436
Ni7 Ni 0.500 0.064 0.796
Ni8 Ni 0.500 0.796 0.936
Ni9 Ni 0.500 0.936 0.204
Ni10 Ni 0.500 0.500 0.000
Er1 Er 0.000 0.674 0.174
Er2 Er 0.000 0.326 0.826
Er3 Er 0.000 0.174 0.326
Er4 Er 0.000 0.826 0.674